Below is an optimized crystal structure of SrCo2NiC, with properties calculated at the GGA-PBE level.

As for the energy of formation: 516 meV per atom. For the raw total energy, the calculation gives -28.321 eV per cell.

It has space group P4/mmm (No. 123), with a = 3.7616 Å, b = 3.7616 Å, c = 5.1191 Å, α = 90.00°, β = 90.00° and γ = 90.00°. The asymmetric unit holds Sr at (0.0000, 0.0000, 0.0000), Co at (0.0000, 0.5000, 0.5000), Ni at (0.5000, 0.5000, 0.0000) and C at (0.0000, 0.0000, 0.5000).



Below is an optimized crystal structure of TiCoNiC2, with properties calculated at the GGA-PBE level.

As for the energy of formation: 1192 meV per atom. For the raw total energy, the calculation gives -33.271 eV per cell.

It has space group P4/mmm (No. 123), with a = 3.5842 Å, b = 3.5842 Å, c = 4.5392 Å, α = 90.00°, β = 90.00° and γ = 90.00°. The asymmetric unit holds Ti at (0.0000, 0.0000, 0.0000), Co at (0.5000, 0.5000, 0.5000), Ni at (0.5000, 0.5000, 0.0000) and C at (0.0000, 0.5000, 0.5000).



Below is an optimized crystal structure of TlCoNi2C, with properties calculated at the GGA-PBE level.

As for the energy of formation: 193 meV per atom. For the raw total energy, the calculation gives -29.292 eV per cell.

It has space group P4/mmm (No. 123), with a = 3.9266 Å, b = 3.9266 Å, c = 3.8403 Å, α = 90.00°, β = 90.00° and γ = 90.00°. The asymmetric unit holds Tl at (0.0000, 0.0000, 0.0000), Co at (0.5000, 0.5000, 0.0000), Ni at (0.0000, 0.5000, 0.5000) and C at (0.5000, 0.5000, 0.5000).



Below is an optimized crystal structure of YCo2NiC, with properties calculated at the GGA-PBE level.

As for the energy of formation: -142 meV per atom. For the raw total energy, the calculation gives -36.391 eV per cell.

It has space group P4/mmm (No. 123), with a = 3.8920 Å, b = 3.8920 Å, c = 4.0275 Å, α = 90.00°, β = 90.00° and γ = 90.00°. The asymmetric unit holds Y at (0.0000, 0.0000, 0.0000), Co at (0.0000, 0.5000, 0.5000), Ni at (0.5000, 0.5000, 0.0000) and C at (0.5000, 0.5000, 0.5000).